Crystalline ZnTc2Ag at its relaxed geometry, computed with PBEsol.

Values from the calculation:
Space-group type   P4/mmm (123)
Calculated total energy   -25.89 eV for the cell shown
Formation energy   0.385 eV/atom

Cell lengths 2.5870, 2.5870, 8.5882 Å; angles 90.00, 90.00, 90.00 degrees
With the nearest neighbours (Å) after each atom.
Fractional positions:
Tc 0.0000 0.0000 0.2378  4 Tc 2.59, 4 Zn 2.74
Tc 0.0000 0.0000 0.7622  4 Tc 2.59, 4 Zn 2.74
Ag 0.5000 0.5000 0.5000  4 Ag 2.59
Zn 0.5000 0.5000 0.0000  4 Zn 2.59, 8 Tc 2.74


Crystalline Zn3TcAg at its relaxed geometry, computed with PBEsol.

Values from the calculation:
Space-group type   Pm-3m (221)
Calculated total energy   -13.24 eV for the cell shown
Formation energy   1.217 eV/atom

Cell lengths 4.5872, 4.5872, 4.5872 Å; angles 90.00, 90.00, 90.00 degrees
With the nearest neighbours (Å) after each atom.
Fractional positions:
Zn 0.0000 0.5000 0.0000  2 Ag 2.29
Zn 0.0000 0.0000 0.5000  2 Ag 2.29
Zn 0.5000 0.0000 0.0000  2 Ag 2.29
Ag 0.0000 0.0000 0.0000  6 Zn 2.29
Tc 0.5000 0.5000 0.5000  12 Zn 3.24